{"formula": "NaGaSi", "functional": "PBE-GGA", "state": "relaxed", "e_form_raw_ev_per_fu": -0.06, "sg": "Imma (74)", "cell": [[-2.021, 4.755, 3.618], [2.021, -4.755, 3.618], [2.021, 4.755, -3.618]], "species": ["Na", "Na", "Ga", "Ga", "Si", "Si"], "frac_coords": [[0.000, 0.000, 0.000], [0.500, 0.000, 0.500], [0.412, 0.662, 0.750], [0.588, 0.338, 0.250], [0.084, 0.334, 0.750], [0.916, 0.666, 0.250]]}